1.
# Ta2NiBr

Crystalline Ta2NiBr at its relaxed geometry (PBE-GGA, Alexandria via LeMat-Bulk).

Output
* E_tot: -30.38 eV per cell
* theoretical density: 10.91 g/cm³
* uncorrected formation energy: 0.196 eV per atom
* Fermi-level density of states: 3.51 states/eV/cell
* distance to the lowest polymorph of the same formula: 0.0 meV per atom

abc: 3.015 3.015 8.382
angles: 90.00 90.00 90.01
Atoms (fractional coordinates):
Ni: 0.500 0.500 0.809
Br: 0.000 0.000 0.459
Ta: 0.000 0.000 0.987
Ta: 0.500 0.500 0.244

***

2.
# TaNiBr2

Crystalline TaNiBr2 at its relaxed geometry (PBE-GGA, Alexandria via LeMat-Bulk).

Output
* E_tot: -18.32 eV per cell
* theoretical density: 9.78 g/cm³
* uncorrected formation energy: 0.664 eV per atom
* Fermi-level density of states: 2.40 states/eV/cell
* distance to the lowest polymorph of the same formula: 915.0 meV per atom

abc: 4.578 4.578 4.578
angles: 60.00 60.00 60.00
Atoms (fractional coordinates):
Ni: 0.000 0.000 0.000
Br: 0.750 0.750 0.750
Br: 0.250 0.250 0.250
Ta: 0.500 0.500 0.500

***

3.
# TaNiBr2

Crystalline TaNiBr2 at its relaxed geometry (PBE-GGA, Alexandria via LeMat-Bulk).

Output
* E_tot: -21.35 eV per cell
* theoretical density: 7.53 g/cm³
* uncorrected formation energy: -0.093 eV per atom
* Fermi-level density of states: 2.55 states/eV/cell
* distance to the lowest polymorph of the same formula: 157.7 meV per atom

abc: 3.242 3.242 8.381
angles: 90.00 90.00 90.00
Atoms (fractional coordinates):
Ni: 0.000 0.000 0.530
Br: 0.000 0.000 0.912
Br: 0.500 0.500 0.370
Ta: 0.500 0.500 0.688

***

4.
# Ta2NiBr

Crystalline Ta2NiBr at its relaxed geometry (PBE-GGA, Alexandria via LeMat-Bulk).

Output
* E_tot: -29.34 eV per cell
* theoretical density: 12.54 g/cm³
* uncorrected formation energy: 0.456 eV per atom
* Fermi-level density of states: 3.98 states/eV/cell
* distance to the lowest polymorph of the same formula: 259.6 meV per atom

abc: 5.369 5.369 5.369
angles: 146.98 127.43 63.50
Atoms (fractional coordinates):
Br: 0.495 0.495 0.000
Ni: 0.253 0.753 0.500
Ta: 0.736 0.236 0.500
Ta: 0.017 0.017 0.000

***

5.
# Ta2NiBr

Crystalline Ta2NiBr at its relaxed geometry (PBE-GGA, Alexandria via LeMat-Bulk).

Output
* E_tot: -28.07 eV per cell
* theoretical density: 12.38 g/cm³
* uncorrected formation energy: 0.773 eV per atom
* Fermi-level density of states: 5.07 states/eV/cell
* distance to the lowest polymorph of the same formula: 577.0 meV per atom

abc: 5.275 5.275 5.275
angles: 137.14 137.14 62.22
Atoms (fractional coordinates):
Ta: 0.250 0.750 0.500
Ta: 0.000 0.000 0.000
Ni: 0.750 0.250 0.500
Br: 0.500 0.500 0.000

***

6.
# TaNiBr2

Crystalline TaNiBr2 at its relaxed geometry (PBE-GGA, Alexandria via LeMat-Bulk).

Output
* E_tot: -19.52 eV per cell
* theoretical density: 9.26 g/cm³
* uncorrected formation energy: 0.366 eV per atom
* Fermi-level density of states: 3.41 states/eV/cell
* distance to the lowest polymorph of the same formula: 617.0 meV per atom

abc: 8.282 8.282 8.282
angles: 22.28 22.28 22.28
Atoms (fractional coordinates):
Br: 0.500 0.500 0.500
Br: 0.000 0.000 0.000
Ni: 0.250 0.250 0.250
Ta: 0.750 0.750 0.750

***

7.
# TaNiBr

Crystalline TaNiBr at its relaxed geometry (PBE-GGA, Alexandria via LeMat-Bulk).

Output
* E_tot: -17.57 eV per cell
* theoretical density: 10.51 g/cm³
* uncorrected formation energy: 0.579 eV per atom
* Fermi-level density of states: 2.36 states/eV/cell
* distance to the lowest polymorph of the same formula: 459.0 meV per atom

abc: 4.405 4.405 3.005
angles: 90.00 90.00 120.00
Atoms (fractional coordinates):
Ni: 0.667 0.333 0.334
Ta: 0.333 0.667 0.833
Br: 0.000 0.000 0.833

***

8.
# TaTi2NiBr

Crystalline TaTi2NiBr at its relaxed geometry (PBE-GGA, Alexandria via LeMat-Bulk).

Output
* E_tot: -31.48 eV per cell
* theoretical density: 7.54 g/cm³
* uncorrected formation energy: 0.722 eV per atom
* Fermi-level density of states: 3.92 states/eV/cell

abc: 4.628 4.270 4.628
angles: 90.00 90.00 90.00
Atoms (fractional coordinates):
Ta: 0.500 0.500 0.500
Br: 0.000 0.000 0.000
Ti: 0.000 0.000 0.500
Ti: 0.500 0.000 0.000
Ni: 0.000 0.500 0.000

***

9.
# Tb2NiBr

Crystalline Tb2NiBr at its relaxed geometry (PBE-GGA, Alexandria via LeMat-Bulk).

Output
* E_tot: -20.01 eV per cell
* theoretical density: 7.40 g/cm³
* uncorrected formation energy: -0.823 eV per atom
* Fermi-level density of states: 2.78 states/eV/cell
* distance to the lowest polymorph of the same formula: 0.0 meV per atom

abc: 3.960 3.960 7.887
angles: 75.46 75.46 60.00
Atoms (fractional coordinates):
Tb: 0.730 0.730 0.810
Tb: 0.270 0.270 0.190
Ni: 0.000 0.000 0.000
Br: 0.500 0.500 0.500

***

10.
# TbNiBr

Crystalline TbNiBr at its relaxed geometry (PBE-GGA, Alexandria via LeMat-Bulk).

Output
* E_tot: -29.31 eV per cell
* theoretical density: 6.34 g/cm³
* uncorrected formation energy: -0.856 eV per atom
* Fermi-level density of states: 2.64 states/eV/cell

abc: 3.844 3.841 12.386
angles: 89.99 81.07 59.97
Atoms (fractional coordinates):
Br: 0.770 0.616 0.844
Br: 0.230 0.384 0.156
Ni: 0.638 0.182 0.543
Ni: 0.362 0.818 0.457
Tb: 0.209 0.897 0.686
Tb: 0.791 0.103 0.314

***

11.
# Tb3NiBr3

Crystalline Tb3NiBr3 at its relaxed geometry (PBE-GGA, Alexandria via LeMat-Bulk).

Output
* E_tot: -66.19 eV per cell
* theoretical density: 6.40 g/cm³
* uncorrected formation energy: -1.201 eV per atom
* Fermi-level density of states: 9.92 states/eV/cell

abc: 3.962 8.651 11.747
angles: 91.89 90.00 90.00
Atoms (fractional coordinates):
Tb: 0.250 0.305 0.616
Tb: 0.250 0.886 0.624
Tb: 0.250 0.886 0.160
Tb: 0.750 0.114 0.376
Tb: 0.750 0.695 0.384
Tb: 0.750 0.114 0.840
Br: 0.250 0.400 0.370
Br: 0.750 0.635 0.131
Br: 0.250 0.869 0.892
Br: 0.750 0.600 0.630
Br: 0.250 0.365 0.869
Br: 0.750 0.131 0.108
Ni: 0.750 0.097 0.615
Ni: 0.250 0.903 0.385

***

12.
# Tb2NiBr

Crystalline Tb2NiBr at its relaxed geometry (PBE-GGA, Alexandria via LeMat-Bulk).

Output
* E_tot: -19.94 eV per cell
* theoretical density: 7.35 g/cm³
* uncorrected formation energy: -0.806 eV per atom
* Fermi-level density of states: 2.60 states/eV/cell
* distance to the lowest polymorph of the same formula: 16.2 meV per atom

abc: 3.952 3.952 7.955
angles: 75.62 75.62 60.00
Atoms (fractional coordinates):
Ni: 0.667 0.667 0.998
Tb: 0.063 0.063 0.810
Tb: 0.271 0.271 0.186
Br: 0.498 0.498 0.505

***

13.
# TbNiBr

Crystalline TbNiBr at its relaxed geometry (PBE-GGA, Alexandria via LeMat-Bulk).

Output
* E_tot: -30.73 eV per cell
* theoretical density: 6.35 g/cm³
* uncorrected formation energy: -1.094 eV per atom
* Fermi-level density of states: 4.99 states/eV/cell

abc: 4.000 4.000 11.451
angles: 90.25 99.81 119.99
Atoms (fractional coordinates):
Tb: 0.893 0.444 0.337
Tb: 0.107 0.556 0.663
Ni: 0.674 0.837 0.510
Ni: 0.326 0.163 0.490
Br: 0.552 0.280 0.833
Br: 0.448 0.720 0.167

***

14.
# Tb6NiBr10

Crystalline Tb6NiBr10 at its relaxed geometry (PBE-GGA, Alexandria via LeMat-Bulk).

Output
* E_tot: -76.89 eV per cell
* theoretical density: 5.33 g/cm³
* uncorrected formation energy: -1.565 eV per atom

abc: 7.365 9.187 9.232
angles: 107.50 96.61 104.62
Atoms (fractional coordinates):
Br: 0.660 0.552 0.729
Br: 0.455 0.820 0.086
Br: 0.545 0.180 0.914
Br: 0.913 0.629 0.174
Br: 0.753 0.920 0.544
Br: 0.247 0.080 0.456
Br: 0.227 0.749 0.657
Br: 0.340 0.448 0.271
Br: 0.087 0.371 0.826
Br: 0.773 0.251 0.343
Tb: 0.963 0.292 0.090
Tb: 0.350 0.130 0.174
Tb: 0.650 0.870 0.826
Tb: 0.125 0.047 0.757
Tb: 0.875 0.953 0.243
Tb: 0.037 0.708 0.910
Ni: 0.000 0.000 0.000

***

15.
# TcNiBr

Crystalline TcNiBr at its relaxed geometry (PBE-GGA, Alexandria via LeMat-Bulk).

Output
* E_tot: -15.16 eV per cell
* theoretical density: 8.58 g/cm³
* uncorrected formation energy: 0.886 eV per atom
* Fermi-level density of states: 3.21 states/eV/cell
* distance to the lowest polymorph of the same formula: 868.2 meV per atom

abc: 4.263 4.263 2.911
angles: 90.00 90.00 120.00
Atoms (fractional coordinates):
Br: 0.000 0.000 0.835
Tc: 0.667 0.333 0.833
Ni: 0.333 0.667 0.332

***

16.
# TcNi2Br

Crystalline TcNi2Br at its relaxed geometry (PBE-GGA, Alexandria via LeMat-Bulk).

Output
* E_tot: -20.58 eV per cell
* theoretical density: 8.96 g/cm³
* uncorrected formation energy: 0.757 eV per atom
* Fermi-level density of states: 4.26 states/eV/cell
* distance to the lowest polymorph of the same formula: 347.4 meV per atom

abc: 4.260 4.260 4.260
angles: 119.94 119.94 90.11
Atoms (fractional coordinates):
Tc: 0.500 0.500 0.000
Ni: 0.250 0.750 0.500
Ni: 0.000 0.000 0.000
Br: 0.750 0.250 0.500

***

17.
# TcNi2Br

Crystalline TcNi2Br at its relaxed geometry (PBE-GGA, Alexandria via LeMat-Bulk).

Output
* E_tot: -21.15 eV per cell
* theoretical density: 8.21 g/cm³
* uncorrected formation energy: 0.613 eV per atom
* Fermi-level density of states: 4.89 states/eV/cell
* distance to the lowest polymorph of the same formula: 204.0 meV per atom

abc: 4.051 2.850 5.363
angles: 105.38 90.00 90.00
Atoms (fractional coordinates):
Br: 0.500 0.815 0.758
Ni: 0.500 0.079 0.277
Ni: 0.000 0.949 0.025
Tc: 0.000 0.657 0.439

***

18.
# TcNi2Br

Crystalline TcNi2Br at its relaxed geometry (PBE-GGA, Alexandria via LeMat-Bulk).

Output
* E_tot: -21.62 eV per cell
* theoretical density: 8.43 g/cm³
* uncorrected formation energy: 0.495 eV per atom
* Fermi-level density of states: 3.45 states/eV/cell
* distance to the lowest polymorph of the same formula: 85.7 meV per atom

abc: 8.350 8.350 8.350
angles: 19.75 19.75 19.75
Atoms (fractional coordinates):
Tc: 0.250 0.250 0.250
Ni: 0.996 0.996 0.996
Ni: 0.504 0.504 0.504
Br: 0.750 0.750 0.750

***

19.
# TcNiBr

Crystalline TcNiBr at its relaxed geometry (PBE-GGA, Alexandria via LeMat-Bulk).

Output
* E_tot: -69.83 eV per cell
* theoretical density: 6.17 g/cm³
* uncorrected formation energy: 0.121 eV per atom
* Fermi-level density of states: 9.31 states/eV/cell
* distance to the lowest polymorph of the same formula: 103.6 meV per atom

abc: 3.701 3.391 20.602
angles: 90.00 99.87 90.00
Atoms (fractional coordinates):
Ni: 0.245 0.000 0.923
Ni: 0.245 0.500 0.423
Ni: 0.673 0.000 0.848
Ni: 0.673 0.500 0.348
Br: 0.422 0.500 0.611
Br: 0.422 0.000 0.111
Br: 0.105 0.500 0.276
Br: 0.105 0.000 0.776
Tc: 0.334 0.000 0.518
Tc: 0.334 0.500 0.018
Tc: 0.764 0.000 0.444
Tc: 0.764 0.500 0.944

***

20.
# TcNi2Br

Crystalline TcNi2Br at its relaxed geometry (PBE-GGA, Alexandria via LeMat-Bulk).

Output
* E_tot: -20.75 eV per cell
* theoretical density: 8.42 g/cm³
* uncorrected formation energy: 0.713 eV per atom
* Fermi-level density of states: 5.52 states/eV/cell
* distance to the lowest polymorph of the same formula: 303.4 meV per atom

abc: 4.695 4.695 4.458
angles: 88.20 88.20 36.34
Atoms (fractional coordinates):
Ni: 0.524 0.524 0.461
Ni: 0.976 0.976 0.039
Tc: 0.250 0.250 0.250
Br: 0.750 0.750 0.750

***

21.
# TcNiBr

Crystalline TcNiBr at its relaxed geometry (PBE-GGA, Alexandria via LeMat-Bulk).

Output
* E_tot: -34.55 eV per cell
* theoretical density: 6.29 g/cm³
* uncorrected formation energy: 0.183 eV per atom
* Fermi-level density of states: 4.58 states/eV/cell
* distance to the lowest polymorph of the same formula: 164.9 meV per atom

abc: 3.196 4.117 10.013
angles: 97.85 90.92 106.63
Atoms (fractional coordinates):
Ni: 0.714 0.356 0.179
Ni: 0.447 0.749 0.075
Tc: 0.318 0.565 0.388
Tc: 0.091 0.955 0.268
Br: 0.864 0.637 0.588
Br: 0.544 0.208 0.937

***

22.
# TcNi4Br

Crystalline TcNi4Br at its relaxed geometry (PBE-GGA, Alexandria via LeMat-Bulk).

Output
* E_tot: -31.46 eV per cell
* theoretical density: 8.53 g/cm³
* uncorrected formation energy: 0.617 eV per atom
* Fermi-level density of states: 10.82 states/eV/cell

abc: 4.843 4.843 4.843
angles: 60.00 60.00 60.00
Site moments in Bohr magnetons follow the coordinates.
Atoms (fractional coordinates):
Ni: 0.376 0.376 0.872  0.64
Ni: 0.376 0.376 0.376  0.64
Ni: 0.376 0.872 0.376  0.64
Ni: 0.872 0.376 0.376  0.64
Tc: 0.750 0.750 0.750  1.95
Br: 0.000 0.000 0.000  0.02

***

23.
# TcNi2Br

Crystalline TcNi2Br at its relaxed geometry (PBE-GGA, Alexandria via LeMat-Bulk).

Output
* E_tot: -20.67 eV per cell
* theoretical density: 8.78 g/cm³
* uncorrected formation energy: 0.734 eV per atom
* Fermi-level density of states: 5.46 states/eV/cell
* distance to the lowest polymorph of the same formula: 324.6 meV per atom

abc: 5.087 5.087 5.087
angles: 147.18 127.76 63.08
Site moments in Bohr magnetons follow the coordinates.
Atoms (fractional coordinates):
Br: 0.250 0.750 0.500  0.01
Ni: 0.007 0.007 0.000  0.31
Ni: 0.493 0.493 0.000  0.31
Tc: 0.750 0.250 0.500  0.71

***

24.
# TcNiBr

Crystalline TcNiBr at its relaxed geometry (PBE-GGA, Alexandria via LeMat-Bulk).

Output
* E_tot: -14.38 eV per cell
* theoretical density: 6.97 g/cm³
* uncorrected formation energy: 1.146 eV per atom
* Fermi-level density of states: 3.53 states/eV/cell
* distance to the lowest polymorph of the same formula: 1127.8 meV per atom

abc: 4.305 4.305 4.305
angles: 60.00 60.00 60.00
Site moments in Bohr magnetons follow the coordinates.
Atoms (fractional coordinates):
Tc: 0.000 0.000 0.000  2.81
Ni: 0.250 0.250 0.250  0.80
Br: 0.500 0.500 0.500  0.10

***

25.
# TcNi2Br

Crystalline TcNi2Br at its relaxed geometry (PBE-GGA, Alexandria via LeMat-Bulk).

Output
* E_tot: -39.78 eV per cell
* theoretical density: 6.58 g/cm³
* uncorrected formation energy: 0.928 eV per atom
* Fermi-level density of states: 3.42 states/eV/cell
* distance to the lowest polymorph of the same formula: 518.5 meV per atom

abc: 6.012 6.012 5.920
angles: 59.49 59.49 90.00
Atoms (fractional coordinates):
Br: 0.250 0.750 0.500
Br: 0.500 0.500 0.000
Tc: 0.750 0.250 0.500
Tc: 0.000 0.000 0.000
Ni: 0.875 0.893 0.750
Ni: 0.375 0.357 0.750
Ni: 0.107 0.625 0.250
Ni: 0.643 0.125 0.250

***

26.
# TcNiBr

Crystalline TcNiBr at its relaxed geometry (PBE-GGA, Alexandria via LeMat-Bulk).

Output
* E_tot: -35.19 eV per cell
* theoretical density: 6.16 g/cm³
* uncorrected formation energy: 0.074 eV per atom
* Fermi-level density of states: 5.31 states/eV/cell
* distance to the lowest polymorph of the same formula: 56.8 meV per atom

abc: 3.659 3.889 8.979
angles: 91.68 93.20 90.08
Atoms (fractional coordinates):
Br: 0.741 0.216 0.317
Br: 0.259 0.784 0.683
Ni: 0.768 0.513 0.090
Ni: 0.232 0.487 0.910
Tc: 0.279 0.015 0.089
Tc: 0.721 0.985 0.911

***

27.
# TcNi2Br

Crystalline TcNi2Br at its relaxed geometry (PBE-GGA, Alexandria via LeMat-Bulk).

Output
* E_tot: -20.15 eV per cell
* theoretical density: 8.46 g/cm³
* uncorrected formation energy: 0.864 eV per atom
* Fermi-level density of states: 4.25 states/eV/cell
* distance to the lowest polymorph of the same formula: 454.6 meV per atom

abc: 4.602 4.602 2.738
angles: 90.00 90.00 90.00
Site moments in Bohr magnetons follow the coordinates.
Atoms (fractional coordinates):
Tc: 0.500 0.000 0.500  0.95
Ni: 0.500 0.500 0.000  0.32
Ni: 0.000 0.000 0.000  0.32
Br: 0.000 0.500 0.500  0.10

***

28.
# TcNi2Br

Crystalline TcNi2Br at its relaxed geometry (PBE-GGA, Alexandria via LeMat-Bulk).

Output
* E_tot: -21.65 eV per cell
* theoretical density: 8.62 g/cm³
* uncorrected formation energy: 0.489 eV per atom
* Fermi-level density of states: 2.06 states/eV/cell
* distance to the lowest polymorph of the same formula: 79.9 meV per atom

abc: 3.033 3.033 6.182
angles: 90.00 90.00 89.98
Atoms (fractional coordinates):
Ni: 0.500 0.500 0.245
Ni: 0.000 0.000 0.040
Br: 0.500 0.500 0.757
Tc: 0.000 0.000 0.458